No. 1
A plane-wave DFT calculation with PBE was carried out for crystalline KCaTe2I at its relaxed geometry.

Results
formation energy (no corrections): -789 meV/atom
ΔE to the lowest computed polymorph: 0 meV per atom

The structure in CIF format:
```
data_KCaTe2I
_chemical_formula_sum 'K1 Ca1 Te2 I1'
_symmetry_space_group_name_H-M 'P 1'
_symmetry_Int_Tables_number 1
_cell_length_a 5.964
_cell_length_b 5.964
_cell_length_c 6.283
_cell_angle_alpha 90.00
_cell_angle_beta 90.00
_cell_angle_gamma 90.00
loop_
_symmetry_equiv_pos_as_xyz
'x,y,z'
loop_
_atom_site_label
_atom_site_type_symbol
_atom_site_fract_x
_atom_site_fract_y
_atom_site_fract_z
I1 I 0.000 0.000 0.500
Ca1 Ca 0.000 0.000 0.000
Te1 Te 0.000 0.500 0.000
Te2 Te 0.500 0.000 0.000
K1 K 0.500 0.500 0.500
```

=====

No. 2
A plane-wave DFT calculation with PBE was carried out for crystalline SrTlAu2 at its relaxed geometry.

Results
ΔH_f (0 K): -436 meV per atom

The structure in CIF format:
```
data_SrTlAu2
_chemical_formula_sum 'Sr1 Tl1 Au2'
_symmetry_space_group_name_H-M 'P 1'
_symmetry_Int_Tables_number 1
_cell_length_a 3.842
_cell_length_b 3.818
_cell_length_c 8.052
_cell_angle_alpha 61.59
_cell_angle_beta 90.00
_cell_angle_gamma 90.00
loop_
_symmetry_equiv_pos_as_xyz
'x,y,z'
loop_
_atom_site_label
_atom_site_type_symbol
_atom_site_fract_x
_atom_site_fract_y
_atom_site_fract_z
Au1 Au 0.000 0.014 0.987
Au2 Au 0.000 0.486 0.513
Sr1 Sr 0.500 0.250 0.250
Tl1 Tl 0.500 0.750 0.750
```

=====

Results for M_tot: 0.9, 0.0 (in μB/f.u., following the order of the records).
Results for raw total energy: -14.9, -12.3 (in eV per cell, following the order of the records).